Record 1
{
  "formula": "MgCd2Pd2",
  "functional": "GGA-PBEsol",
  "state": "relaxed",
  "spacegroup": "P4/mbm, No. 127",
  "formation_energy_ev_per_atom": -0.39,
  "energy_ev_per_cell": -35.97,
  "lattice_angstrom": [[-2.663, 2.375, 1.388], [-3.531, -0.530, -5.868], [-3.448, -5.361, 2.558]],
  "species": ["Pd", "Pd", "Pd", "Pd", "Cd", "Cd", "Cd", "Cd", "Mg", "Mg"],
  "frac_coords": [[0.000, 0.641, 0.141], [0.000, 0.859, 0.641], [0.000, 0.359, 0.859], [0.000, 0.141, 0.359], [0.500, 0.658, 0.842], [0.500, 0.842, 0.342], [0.500, 0.158, 0.658], [0.500, 0.342, 0.158], [0.000, 0.000, 0.000], [0.000, 0.500, 0.500]]
}

=====

Record 2
{
  "formula": "AgHg2Au",
  "functional": "GGA-PBEsol",
  "state": "relaxed",
  "spacegroup": "R-3m, No. 166",
  "formation_energy_ev_per_atom": 0.05,
  "energy_ev_per_cell": -8.16,
  "lattice_angstrom": [[3.050, 0.000, 0.000], [1.525, 2.641, 0.000], [1.525, 0.880, 9.373]],
  "species": ["Au", "Hg", "Hg", "Ag"],
  "frac_coords": [[0.000, 0.000, 0.000], [0.751, 0.751, 0.747], [0.249, 0.249, 0.253], [0.500, 0.500, 0.500]]
}

=====

Record 3
{
  "formula": "SrZr2Hg",
  "functional": "GGA-PBEsol",
  "state": "relaxed",
  "spacegroup": "I4/mmm, No. 139",
  "formation_energy_ev_per_atom": 0.26,
  "energy_ev_per_cell": -19.53,
  "lattice_angstrom": [[-0.640, -4.225, -1.187], [3.671, 0.142, -2.485], [1.147, 0.557, 5.685]],
  "species": ["Sr", "Zr", "Zr", "Hg"],
  "frac_coords": [[0.000, 0.000, 0.000], [0.250, 0.750, 0.500], [0.750, 0.250, 0.500], [0.500, 0.500, 0.000]]
}

=====

Record 4
{
  "formula": "BeSnAu2",
  "functional": "GGA-PBEsol",
  "state": "relaxed",
  "spacegroup": "Fm-3m, No. 225",
  "formation_energy_ev_per_atom": 0.18,
  "energy_ev_per_cell": -15.37,
  "lattice_angstrom": [[-2.497, -3.838, 0.293], [1.932, -4.067, -0.884], [0.754, -2.972, 3.413]],
  "species": ["Au", "Au", "Sn", "Be"],
  "frac_coords": [[0.250, 0.250, 0.250], [0.750, 0.750, 0.750], [0.500, 0.500, 0.500], [0.000, 0.000, 0.000]]
}

=====

Record 5
{
  "formula": "NbReOs2Rh",
  "functional": "GGA-PBEsol",
  "state": "relaxed",
  "spacegroup": "P4/mmm, No. 123",
  "formation_energy_ev_per_atom": 2.55,
  "energy_ev_per_cell": -43.99,
  "lattice_angstrom": [[4.522, 0.000, 0.000], [0.000, 4.633, 0.000], [0.000, 0.000, 4.633]],
  "species": ["Re", "Rh", "Nb", "Os", "Os"],
  "frac_coords": [[0.500, 0.500, 0.500], [0.500, 0.000, 0.000], [0.000, 0.000, 0.000], [0.000, 0.000, 0.500], [0.000, 0.500, 0.000]]
}

=====

Record 6
{
  "formula": "SbTe2Os",
  "functional": "GGA-PBEsol",
  "state": "relaxed",
  "spacegroup": "Cm, No. 8",
  "e_form_raw_kj_per_mol_atoms": 20,
  "energy_ev_per_cell": -23.00,
  "lattice_angstrom": [[3.816, 0.000, 0.000], [-1.908, 4.572, 0.067], [0.000, -2.356, 5.803]],
  "species": ["Te", "Te", "Os", "Sb"],
  "frac_coords": [[0.022, 0.044, 0.954], [0.832, 0.664, 0.304], [0.469, 0.938, 0.620], [0.177, 0.354, 0.622]]
}